Record 1
Entry from Alexandria via LeMat-Bulk: an optimized crystal structure of CaHo2MgAg4 (PBE-GGA).

Structure (extended XYZ):
```
8
Lattice="-0.873 4.878 -0.958 -4.219 1.384 -2.399 -5.572 2.815 6.114" Properties=species:S:1:pos:R:3 pbc="T T T"
Ag -4.103 2.539 3.372
Ho -2.703 2.276 0.759
Ho -7.961 6.800 1.998
Ag -6.734 4.801 3.996
Mg -5.332 4.538 1.379
Ca 0.000 0.000 0.000
Ag -6.561 6.538 -0.615
Ag -3.930 4.275 -1.239
```

Summary:
Total energy ... -26.43 eV for the cell shown
N(E_F) ... 5.57 states/eV/f.u.

---

Record 2
Entry from Alexandria via LeMat-Bulk: an optimized crystal structure of K2TmBiS4 (PBE-GGA).

Structure (extended XYZ):
```
8
Lattice="4.071 0.000 0.000 0.000 7.103 0.139 0.000 -2.476 7.328" Properties=species:S:1:pos:R:3 pbc="T T T"
K 0.000 2.314 3.733
S 2.036 3.385 5.915
Bi 0.000 0.000 0.000
S 2.036 1.242 1.552
S 0.000 -0.016 5.892
Tm 2.036 3.552 0.069
S 0.000 4.643 1.575
K 2.036 -1.238 3.664
```

Summary:
Total energy ... -37.81 eV for the cell shown
N(E_F) ... 0.00 states/eV/f.u.

---

Record 3
Entry from Alexandria via LeMat-Bulk: an optimized crystal structure of Pm2TaGe4Rh3 (PBE-GGA).

Structure (extended XYZ):
```
10
Lattice="4.190 0.000 0.000 0.000 4.190 0.000 0.000 0.000 10.798" Properties=species:S:1:pos:R:3 pbc="T T T"
Rh 2.095 0.000 9.474
Ge 0.000 2.095 3.799
Ge 2.095 0.000 6.999
Ge 0.000 0.000 0.000
Pm 0.000 2.095 8.208
Ge 2.095 2.095 0.000
Pm 2.095 0.000 2.590
Ta 2.095 2.095 5.399
Rh 0.000 2.095 1.323
Rh 0.000 0.000 5.399
```

Summary:
Total energy ... -69.07 eV for the cell shown
N(E_F) ... 7.73 states/eV/f.u.

---

Record 4
Entry from Alexandria via LeMat-Bulk: an optimized crystal structure of Nd4Y15In (PBE-GGA).

Structure (extended XYZ):
```
20
Lattice="-4.598 -1.999 -0.386 2.001 -4.263 -1.764 1.892 -8.943 23.760" Properties=species:S:1:pos:R:3 pbc="T T T"
Y 1.947 -6.603 10.998
Y 1.564 -4.793 6.190
Y 1.180 -2.980 1.373
Y -0.932 -4.866 3.534
Nd 1.138 -5.379 14.291
Nd 0.374 -1.768 4.698
Y 0.226 -10.339 18.076
In 0.000 0.000 0.000
Y -0.970 -7.280 16.495
Nd 0.754 -3.564 9.469
Y -1.299 -3.131 -1.075
Y -0.587 -9.093 21.312
Y -0.545 -6.695 8.393
Y -2.120 -1.848 2.062
Y 2.329 -8.412 15.806
Nd 1.518 -7.175 19.062
Y -1.736 -3.661 6.879
Y 2.713 -10.226 20.623
Y -1.353 -5.471 11.687
Y -0.161 -8.510 13.217
```

Summary:
Total energy ... -119.36 eV for the cell shown
N(E_F) ... 27.54 states/eV/f.u.

---

Record 5
Entry from Alexandria via LeMat-Bulk: an optimized crystal structure of Te4PtRh2 (PBE-GGA).

Structure (extended XYZ):
```
14
Lattice="6.687 0.533 -1.952 -3.395 5.786 -1.952 -0.082 -0.158 8.129" Properties=species:S:1:pos:R:3 pbc="T T T"
Rh 3.891 4.804 0.540
Pt -0.001 3.075 2.523
Rh 2.643 1.587 2.734
Te 2.399 4.252 2.671
Pt 2.562 1.841 -1.542
Rh -0.173 3.154 -1.331
Te 0.669 1.306 0.538
Rh 1.666 5.863 4.604
Te 0.646 1.218 4.602
Te -0.928 4.724 0.628
Te 2.151 4.482 -1.394
Te 4.272 2.072 0.588
Te 4.362 1.868 4.692
Te -0.791 4.609 4.652
```

Summary:
Total energy ... -70.96 eV for the cell shown
N(E_F) ... 4.63 states/eV/f.u.

---

Record 6
Entry from Alexandria via LeMat-Bulk: an optimized crystal structure of Li2LaIn (PBE-GGA).

Structure (extended XYZ):
```
4
Lattice="-0.106 7.650 6.871 -2.688 5.731 8.104 0.566 5.000 8.967" Properties=species:S:1:pos:R:3 pbc="T T T"
Li -0.025 0.210 0.273
In -1.671 13.785 17.956
La -0.557 4.595 5.985
Li -1.089 8.980 11.698
```

Summary:
Total energy ... -11.45 eV for the cell shown
N(E_F) ... 3.02 states/eV/f.u.

---

Record 7
Entry from Alexandria via LeMat-Bulk: an optimized crystal structure of CaRu2Pb (PBE-GGA).

Structure (extended XYZ):
```
4
Lattice="-2.382 -2.308 -0.814 1.806 -2.424 1.590 -3.234 1.329 5.697" Properties=species:S:1:pos:R:3 pbc="T T T"
Ru -1.717 0.706 3.026
Ru -3.133 1.287 5.520
Pb -2.714 -1.369 4.661
Ca -1.097 -2.034 1.813
```

Summary:
Total energy ... -22.66 eV for the cell shown
N(E_F) ... 6.29 states/eV/f.u.

---

Record 8
Entry from Alexandria via LeMat-Bulk: an optimized crystal structure of ScTiCd2 (PBE-GGA).

Structure (extended XYZ):
```
4
Lattice="1.531 -4.567 -0.785 -2.710 -3.057 -2.670 1.500 -1.341 -4.447" Properties=species:S:1:pos:R:3 pbc="T T T"
Cd 0.241 -6.724 -5.926
Cd 0.080 -2.241 -1.975
Ti 0.161 -4.483 -3.951
Sc 0.000 0.000 0.000
```

Summary:
Total energy ... -16.36 eV for the cell shown
N(E_F) ... 2.69 states/eV/f.u.
Energy above the most stable polymorph in this dataset ... 24 meV/atom

---

Record 9
Entry from Alexandria via LeMat-Bulk: an optimized crystal structure of Mg2AlSb (PBE-GGA).

Structure (extended XYZ):
```
4
Lattice="-5.017 0.820 8.794 -4.336 -2.355 8.880 -2.147 -0.195 9.927" Properties=species:S:1:pos:R:3 pbc="T T T"
Sb -5.711 -0.859 13.706
Mg -0.051 -0.008 0.122
Mg -2.882 -0.434 6.918
Al -8.607 -1.294 20.656
```

Summary:
Total energy ... -10.79 eV for the cell shown
N(E_F) ... 1.44 states/eV/f.u.
Energy above the most stable polymorph in this dataset ... 138 meV/atom

---

Record 10
Entry from Alexandria via LeMat-Bulk: an optimized crystal structure of Tm6SnPd (PBE-GGA).

Structure (extended XYZ):
```
8
Lattice="6.802 0.014 -0.005 3.398 5.919 0.007 3.379 1.970 6.289" Properties=species:S:1:pos:R:3 pbc="T T T"
Tm 9.309 3.888 1.549
Tm 5.479 1.799 1.552
Tm 5.608 6.181 1.559
Tm 8.100 6.103 4.738
Tm 7.972 1.722 4.732
Sn 6.790 3.951 3.145
Tm 4.271 4.014 4.742
Pd 0.000 0.000 0.000
```

Summary:
Total energy ... -37.02 eV for the cell shown
N(E_F) ... 9.85 states/eV/f.u.

---

no.,M_tot (μB per cell)
1,0.0
2,0.0
3,0.0
4,0.5
5,0.0
6,0.0
7,0.7
8,1.1
9,0.0
10,0.0